# 1
Material: Na3Zr2NiTe6
Method: DFT, PBE
State: optimized geometry

Space-group type: C2/m
Raw formation energy in eV/atom: -0.715
E in eV per atom: -4.522
ρ in g/cm³: 5.3
DOS(E_F) in states/eV/atom: 0.472

a b c (Å): 7.1968 7.1968 7.8952
angles (deg): 98.81 98.81 119.95
Each line ends with the local moment (μB).
Positions (direct):
1 Na 0.1752 0.8248 0.5000  0.00
2 Na 0.8248 0.1752 0.5000  0.00
3 Na 0.5000 0.5000 0.5000  0.00
4 Zr 0.3357 0.6643 0.0000  -0.07
5 Zr 0.6643 0.3357 0.0000  -0.07
6 Ni 0.0000 0.0000 0.0000  0.86
7 Te 0.9308 0.6141 0.7886  0.05
8 Te 0.7559 0.7559 0.2156  0.04
9 Te 0.0692 0.3859 0.2114  0.05
10 Te 0.6141 0.9308 0.7886  0.05
11 Te 0.2441 0.2441 0.7844  0.04
12 Te 0.3859 0.0692 0.2114  0.05

---

# 2
Material: BeZnCSO
Method: DFT, PBE
State: optimized geometry

Distance to the lowest polymorph of the same formula in kJ/mol of atoms: 32.59
Space-group type: P1
Raw formation energy in eV/atom: -0.180
E in eV per atom: -4.842
ρ in g/cm³: 2.8

a b c (Å): 3.1759 4.7925 5.5926
angles (deg): 77.93 73.87 89.68
Positions (direct):
1 S 0.3044 0.9265 0.1755
2 Be 0.4700 0.2328 0.8454
3 C 0.3156 0.5761 0.1494
4 Zn 0.1443 0.2721 0.4831
5 O 0.4307 0.5276 0.9210

---

# 3
Material: LaTbY2Se6
Method: DFT, PBE
State: optimized geometry

Space-group type: R3
Raw formation energy in eV/atom: -1.889
E in eV per atom: -6.228
ρ in g/cm³: 5.2
DOS(E_F) in states/eV/atom: 0.000

a b c (Å): 7.3356 7.3358 7.7661
angles (deg): 61.80 61.81 60.00
Positions (direct):
1 La 0.8105 0.8105 0.5684
2 Tb 0.3174 0.3174 0.0477
3 Y 0.5163 0.5162 0.4512
4 Y 0.0122 0.0123 0.9633
5 Se 0.6128 0.2265 0.2471
6 Se 0.2264 0.9135 0.2472
7 Se 0.9136 0.6128 0.2472
8 Se 0.3914 0.7258 0.7477
9 Se 0.7258 0.1350 0.7477
10 Se 0.1350 0.3916 0.7477